Entry 1:
{"formula": "KTa2Os", "functional": "PBE-GGA", "state": "relaxed", "e_above_lowest_polymorph_ev_per_atom": 0.0000, "spacegroup": "No. 123", "dft_energy_ev_per_atom": -8.43, "formation_energy_mev_per_atom": 579, "lattice_angstrom": [[2.9710, 0.0000, 0.0000], [0.0000, 2.9710, 0.0000], [0.0000, 0.0000, 10.2067]], "species": ["K", "Ta", "Ta", "Os"], "frac_coords": [[0.0000, 0.0000, 0.0000], [0.5000, 0.5000, 0.3284], [0.5000, 0.5000, 0.6716], [0.0000, 0.0000, 0.5000]]}

=====

Entry 2:
{"formula": "MnBeCo4", "functional": "PBE-GGA", "state": "relaxed", "spacegroup": "No. 216", "dft_energy_ev_per_atom": -6.71, "formation_energy_mev_per_atom": 172, "lattice_angstrom": [[0.0000, 3.2723, 3.2723], [3.2723, 0.0000, 3.2723], [3.2723, 3.2723, 0.0000]], "species": ["Mn", "Be", "Co", "Co", "Co", "Co"], "frac_coords": [[0.0000, 0.0000, 0.0000], [0.7500, 0.7500, 0.7500], [0.3752, 0.3752, 0.3752], [0.3752, 0.3752, 0.8743], [0.3752, 0.8743, 0.3752], [0.8743, 0.3752, 0.3752]]}

=====

Entry 3:
{"formula": "TmBr", "functional": "PBE-GGA", "state": "relaxed", "e_form_raw_mev_per_atom": -1122.7, "spacegroup": "No. 129", "dft_energy_ev_per_atom": -4.19, "lattice_angstrom": [[3.6650, 0.0000, 0.0000], [0.0000, 3.6650, 0.0000], [0.0000, 0.0000, 9.2384]], "species": ["Tm", "Tm", "Br", "Br"], "frac_coords": [[0.2500, 0.2500, 0.1258], [0.7500, 0.7500, 0.8742], [0.2500, 0.2500, 0.7040], [0.7500, 0.7500, 0.2960]]}

=====

Entry 4:
{"formula": "PrTl4Br7", "functional": "PBE-GGA", "state": "relaxed", "e_form_raw_mev_per_atom": -1161.2, "spacegroup": "No. 12", "dft_energy_ev_per_atom": -3.32, "lattice_angstrom": [[11.1366, -2.8521, 0.0000], [11.1366, 2.8521, 0.0000], [-2.3728, 0.0000, 7.5970]], "species": ["Pr", "Tl", "Tl", "Tl", "Tl", "Br", "Br", "Br", "Br", "Br", "Br", "Br"], "frac_coords": [[0.0000, 0.0000, 0.0000], [0.3003, 0.3003, 0.7494], [0.4140, 0.4140, 0.3643], [0.5860, 0.5860, 0.6357], [0.6997, 0.6997, 0.2506], [0.0781, 0.0781, 0.3649], [0.1150, 0.1150, 0.8939], [0.2760, 0.2760, 0.3363], [0.5000, 0.5000, 0.0000], [0.7240, 0.7240, 0.6637], [0.8850, 0.8850, 0.1061], [0.9219, 0.9219, 0.6351]]}